Record 1
Tl2NiRu: relaxed, PBE.

abc: 7.227 7.227 5.913
angles: 52.33 52.33 90.00
Sites, in units of the cell vectors:
1 Tl 0.375 0.393 0.750
2 Tl 0.143 0.625 0.250
3 Ni 0.500 0.500 0.000
4 Tl 0.875 0.857 0.750
5 Ni 0.250 0.750 0.500
6 Ru 0.000 0.000 0.000
7 Tl 0.607 0.125 0.250
8 Ru 0.750 0.250 0.500

* relative energy among the computed polymorphs: 0.314 eV/atom
* energy of formation: 0.740 eV/atom


Record 2
NpTcP2Ir: relaxed, PBE.

abc: 4.046 4.046 5.707
angles: 110.76 110.76 90.00
Site moments in Bohr magnetons follow the coordinates.
Sites, in units of the cell vectors:
1 P 0.623 0.623 0.245  -0.01
2 Ir 0.250 0.750 0.500  -0.03
3 P 0.377 0.377 0.755  -0.01
4 Tc 0.750 0.250 0.500  -0.05
5 Np 0.000 0.000 0.000  3.71

* energy of formation: -0.645 eV/atom


Record 3
YGe2Au4: relaxed, PBE.

abc: 4.544 6.920 17.584
angles: 90.00 90.00 90.00
Sites, in units of the cell vectors:
1 Ge 0.250 0.980 0.777
2 Au 0.250 0.191 0.531
3 Y 0.750 0.993 0.638
4 Au 0.250 0.309 0.031
5 Ge 0.750 0.213 0.458
6 Y 0.250 0.007 0.362
7 Au 0.750 0.726 0.311
8 Au 0.750 0.033 0.074
9 Ge 0.750 0.480 0.723
10 Au 0.750 0.809 0.469
11 Au 0.750 0.313 0.317
12 Ge 0.750 0.020 0.223
13 Ge 0.250 0.520 0.277
14 Au 0.750 0.187 0.817
15 Ge 0.250 0.713 0.042
16 Au 0.250 0.813 0.183
17 Y 0.750 0.507 0.138
18 Au 0.750 0.774 0.811
19 Au 0.750 0.691 0.969
20 Au 0.250 0.687 0.683
21 Ge 0.750 0.287 0.958
22 Y 0.250 0.493 0.862
23 Au 0.250 0.533 0.426
24 Au 0.250 0.967 0.926
25 Au 0.750 0.467 0.574
26 Ge 0.250 0.787 0.542
27 Au 0.250 0.274 0.689
28 Au 0.250 0.226 0.189

* energy of formation: -0.365 eV/atom


Record 4
TaTePtI2: relaxed, PBE.

abc: 5.340 5.340 5.336
angles: 90.00 90.00 90.00
Site moments in Bohr magnetons follow the coordinates.
Sites, in units of the cell vectors:
1 Ta 0.500 0.500 0.500  2.01
2 Pt 0.000 0.000 0.000  -0.06
3 Te 0.000 0.000 0.500  -0.18
4 I 0.500 0.000 0.000  -0.08
5 I 0.000 0.500 0.000  -0.08

* relative energy among the computed polymorphs: 0.187 eV/atom
* ΔE_f (raw): 1.0765 eV per atom


Record 5
YOsRh3: relaxed, PBE.

abc: 4.735 4.735 4.735
angles: 90.00 90.00 90.00
Sites, in units of the cell vectors:
1 Rh 0.000 0.500 0.000
2 Rh 0.500 0.000 0.000
3 Os 0.000 0.000 0.000
4 Y 0.500 0.500 0.500
5 Rh 0.000 0.000 0.500

* relative energy among the computed polymorphs: 0.000 eV/atom
* energy of formation: 0.510 eV/atom


Record 6
Pm6Sm2Y5: relaxed, PBE.

abc: 3.650 11.788 20.616
angles: 90.00 90.00 90.00
Sites, in units of the cell vectors:
1 Y 0.500 0.409 0.722
2 Y 0.500 0.909 0.778
3 Y 0.500 0.802 0.057
4 Pm 0.000 0.437 0.577
5 Sm 0.000 0.170 0.785
6 Pm 0.000 0.922 0.636
7 Y 0.500 0.698 0.557
8 Y 0.500 0.198 0.943
9 Pm 0.500 0.325 0.131
10 Sm 0.000 0.670 0.715
11 Pm 0.500 0.675 0.869
12 Y 0.500 0.091 0.222
13 Sm 0.000 0.330 0.285
14 Pm 0.000 0.578 0.136
15 Pm 0.000 0.937 0.923
16 Pm 0.000 0.563 0.423
17 Pm 0.500 0.175 0.631
18 Pm 0.000 0.078 0.364
19 Y 0.500 0.500 0.000
20 Pm 0.000 0.422 0.864
21 Pm 0.000 0.063 0.077
22 Pm 0.500 0.825 0.369
23 Y 0.500 0.000 0.500
24 Sm 0.000 0.830 0.215
25 Y 0.500 0.302 0.443
26 Y 0.500 0.591 0.278

* energy of formation: 0.098 eV/atom


Record 7
GdBi2Au: relaxed, PBE.

abc: 3.638 3.638 10.774
angles: 80.28 80.28 60.00
Site moments in Bohr magnetons follow the coordinates.
Sites, in units of the cell vectors:
1 Bi 0.100 0.100 0.699  -0.01
2 Gd 0.000 0.000 0.000  7.12
3 Bi 0.900 0.900 0.301  -0.01
4 Au 0.500 0.500 0.500  -0.01

* energy of formation: 0.084 eV/atom


Record 8
La2RhAu2: relaxed, PBE.

abc: 4.050 6.006 11.229
angles: 91.28 100.41 109.76
Sites, in units of the cell vectors:
1 Rh 0.401 0.100 0.702
2 Au 0.061 0.696 0.426
3 Au 0.939 0.304 0.574
4 La 0.929 0.738 0.120
5 La 0.692 0.735 0.649
6 La 0.071 0.262 0.880
7 Rh 0.599 0.900 0.298
8 La 0.308 0.265 0.351
9 Au 0.351 0.809 0.894
10 Au 0.649 0.191 0.106

* relative energy among the computed polymorphs: 0.000 eV/atom
* energy of formation: -0.794 eV/atom